Record 1
Entry from the Alexandria database: an optimized crystal structure of SrCo4 (PBE-GGA). Values from VASP.

Computed properties:
V: 19.4 A^3/atom
Formation energy: 2.463 eV per atom
ΔE to the lowest computed polymorph: 2033 meV/atom
Calculated density: 5.539 g/cm3
M_tot: 5.721 μB/f.u.

Geometry as Quantum ESPRESSO input:
```
&SYSTEM
  ibrav = 0, nat = 5, ntyp = 2
/
ATOMIC_SPECIES
Sr 87.62 Sr.upf
Co 58.93 Co.upf
CELL_PARAMETERS angstrom
4.594 0.000 0.000
0.000 4.594 0.000
0.000 0.000 4.594
ATOMIC_POSITIONS crystal
Sr 0.000 0.000 0.000
Co 0.000 0.000 0.500
Co 0.000 0.500 0.000
Co 0.500 0.000 0.000
Co 0.500 0.500 0.500
```

***

Record 2
Entry from the Alexandria database: an optimized crystal structure of SrCo4 (PBE-GGA). Values from VASP.

Computed properties:
V: 19.1 A^3/atom
Formation energy: 2.064 eV per atom
ΔE to the lowest computed polymorph: 1634 meV/atom
Calculated density: 5.627 g/cm3
M_tot: 6.145 μB/f.u.

Geometry as Quantum ESPRESSO input:
```
&SYSTEM
  ibrav = 0, nat = 5, ntyp = 2
/
ATOMIC_SPECIES
Sr 87.62 Sr.upf
Co 58.93 Co.upf
CELL_PARAMETERS angstrom
-2.879 2.879 2.879
2.879 -2.879 2.879
2.879 2.879 -2.879
ATOMIC_POSITIONS crystal
Sr 0.000 0.000 0.000
Co 0.000 0.000 0.500
Co 0.000 0.500 0.000
Co 0.500 0.000 0.000
Co 0.500 0.500 0.500
```

***

Record 3
Entry from the Alexandria database: an optimized crystal structure of Sr3Co2 (PBE-GGA). Values from VASP.

Computed properties:
V: 30.7 A^3/atom
Formation energy: 0.452 eV per atom
ΔE to the lowest computed polymorph: 0 meV/atom
Calculated density: 4.118 g/cm3
M_tot: 2.361 μB/f.u.

Geometry as Quantum ESPRESSO input:
```
&SYSTEM
  ibrav = 0, nat = 10, ntyp = 2
/
ATOMIC_SPECIES
Sr 87.62 Sr.upf
Co 58.93 Co.upf
CELL_PARAMETERS angstrom
0.000 10.603 2.150
6.736 0.000 2.150
6.736 10.603 0.000
ATOMIC_POSITIONS crystal
Sr 0.000 0.000 0.000
Sr 0.124 0.625 0.626
Sr 0.250 0.250 0.250
Sr 0.624 0.625 0.126
Sr 0.625 0.124 0.625
Sr 0.625 0.624 0.625
Co 0.014 0.487 0.013
Co 0.237 0.765 0.236
Co 0.487 0.014 0.485
Co 0.765 0.237 0.763
```

***

Record 4
Entry from the Alexandria database: an optimized crystal structure of Sr5Co (PBE-GGA). Values from VASP.

Computed properties:
V: 45.0 A^3/atom
Formation energy: 0.364 eV per atom
ΔE to the lowest computed polymorph: 0 meV/atom
Calculated density: 3.054 g/cm3
M_tot: 1.076 μB/f.u.

Geometry as Quantum ESPRESSO input:
```
&SYSTEM
  ibrav = 0, nat = 6, ntyp = 2
/
ATOMIC_SPECIES
Sr 87.62 Sr.upf
Co 58.93 Co.upf
CELL_PARAMETERS angstrom
2.174 -9.695 0.000
2.174 9.695 0.000
0.000 0.000 6.411
ATOMIC_POSITIONS crystal
Sr 0.000 0.000 0.000
Sr 0.116 0.884 0.500
Sr 0.333 0.667 0.000
Sr 0.667 0.333 0.000
Sr 0.884 0.116 0.500
Co 0.500 0.500 0.500
```

***

Record 5
Entry from the Alexandria database: an optimized crystal structure of Sr3Co (PBE-GGA). Values from VASP.

Computed properties:
V: 41.0 A^3/atom
Formation energy: 0.404 eV per atom
Calculated density: 3.255 g/cm3
M_tot: 1.151 μB/f.u.

Geometry as Quantum ESPRESSO input:
```
&SYSTEM
  ibrav = 0, nat = 4, ntyp = 2
/
ATOMIC_SPECIES
Sr 87.62 Sr.upf
Co 58.93 Co.upf
CELL_PARAMETERS angstrom
4.135 0.000 0.000
-2.068 3.581 0.000
0.000 0.000 11.083
ATOMIC_POSITIONS crystal
Sr 0.000 0.000 0.000
Sr 0.667 0.333 0.326
Sr 0.667 0.333 0.674
Co 0.000 0.000 0.500
```

***

Record 6
Entry from the Alexandria database: an optimized crystal structure of Sr5Co (PBE-GGA). Values from VASP.

Computed properties:
V: 43.2 A^3/atom
Formation energy: 0.444 eV per atom
ΔE to the lowest computed polymorph: 80 meV/atom
Calculated density: 3.184 g/cm3
M_tot: 1.431 μB/f.u.

Geometry as Quantum ESPRESSO input:
```
&SYSTEM
  ibrav = 0, nat = 6, ntyp = 2
/
ATOMIC_SPECIES
Sr 87.62 Sr.upf
Co 58.93 Co.upf
CELL_PARAMETERS angstrom
6.983 0.000 0.000
-3.491 6.047 0.000
0.000 0.000 6.139
ATOMIC_POSITIONS crystal
Sr 0.000 0.696 0.000
Sr 0.304 0.304 0.000
Sr 0.333 0.667 0.500
Sr 0.667 0.333 0.500
Sr 0.696 0.000 0.000
Co 0.000 0.000 0.500
```

***

Record 7
Entry from the Alexandria database: an optimized crystal structure of Sr3Co (PBE-GGA). Values from VASP.

Computed properties:
V: 39.2 A^3/atom
Formation energy: 0.696 eV per atom
Calculated density: 3.406 g/cm3
M_tot: 1.345 μB/f.u.

Geometry as Quantum ESPRESSO input:
```
&SYSTEM
  ibrav = 0, nat = 4, ntyp = 2
/
ATOMIC_SPECIES
Sr 87.62 Sr.upf
Co 58.93 Co.upf
CELL_PARAMETERS angstrom
5.900 3.406 1.301
-5.900 3.406 1.301
0.000 -6.813 1.301
ATOMIC_POSITIONS crystal
Sr 0.000 0.500 0.500
Sr 0.500 0.000 0.500
Sr 0.500 0.500 0.000
Co 0.000 0.000 0.000
```

***

Record 8
Entry from the Alexandria database: an optimized crystal structure of Sr3Co (PBE-GGA). Values from VASP.

Computed properties:
V: 39.5 A^3/atom
Formation energy: 0.323 eV per atom
Calculated density: 3.383 g/cm3
M_tot: 0.352 μB/f.u.

Geometry as Quantum ESPRESSO input:
```
&SYSTEM
  ibrav = 0, nat = 4, ntyp = 2
/
ATOMIC_SPECIES
Sr 87.62 Sr.upf
Co 58.93 Co.upf
CELL_PARAMETERS angstrom
-2.020 5.560 3.516
2.020 -5.560 3.516
2.020 5.560 -3.516
ATOMIC_POSITIONS crystal
Sr 0.000 0.000 0.000
Sr 0.306 0.481 0.825
Sr 0.655 0.481 0.175
Co 0.306 0.806 0.500
```

***

Record 9
Entry from the Alexandria database: an optimized crystal structure of Sr3Co (PBE-GGA). Values from VASP.

Computed properties:
V: 41.3 A^3/atom
Formation energy: 0.546 eV per atom
Calculated density: 3.233 g/cm3
M_tot: 1.147 μB/f.u.

Geometry as Quantum ESPRESSO input:
```
&SYSTEM
  ibrav = 0, nat = 4, ntyp = 2
/
ATOMIC_SPECIES
Sr 87.62 Sr.upf
Co 58.93 Co.upf
CELL_PARAMETERS angstrom
5.083 0.000 0.000
0.000 5.083 0.000
0.000 0.000 6.396
ATOMIC_POSITIONS crystal
Sr 0.000 0.000 0.000
Sr 0.000 0.500 0.469
Sr 0.500 0.000 0.469
Co 0.500 0.500 0.169
```

***

Record 10
Entry from the Alexandria database: an optimized crystal structure of Sr3Co (PBE-GGA). Values from VASP.

Computed properties:
V: 37.6 A^3/atom
Formation energy: 0.580 eV per atom
Calculated density: 3.549 g/cm3
M_tot: 1.097 μB/f.u.

Geometry as Quantum ESPRESSO input:
```
&SYSTEM
  ibrav = 0, nat = 4, ntyp = 2
/
ATOMIC_SPECIES
Sr 87.62 Sr.upf
Co 58.93 Co.upf
CELL_PARAMETERS angstrom
-2.615 2.615 5.505
2.615 -2.615 5.505
2.615 2.615 -5.505
ATOMIC_POSITIONS crystal
Sr 0.000 0.000 0.000
Sr 0.250 0.750 0.500
Sr 0.750 0.250 0.500
Co 0.500 0.500 0.000
```

***

Record 11
Entry from the Alexandria database: an optimized crystal structure of Sr3Co (PBE-GGA). Values from VASP.

Computed properties:
V: 38.0 A^3/atom
Formation energy: 0.331 eV per atom
Calculated density: 3.512 g/cm3
M_tot: 0.996 μB/f.u.

Geometry as Quantum ESPRESSO input:
```
&SYSTEM
  ibrav = 0, nat = 4, ntyp = 2
/
ATOMIC_SPECIES
Sr 87.62 Sr.upf
Co 58.93 Co.upf
CELL_PARAMETERS angstrom
3.851 0.000 0.000
0.000 3.843 0.000
-0.009 0.000 10.278
ATOMIC_POSITIONS crystal
Sr 0.000 0.000 0.000
Sr 0.500 0.500 0.330
Sr 0.500 0.500 0.670
Co 0.000 0.000 0.500
```

***

Record 12
Entry from the Alexandria database: an optimized crystal structure of SrTaCo2 (PBE-GGA). Values from VASP.

Computed properties:
V: 21.0 A^3/atom
Formation energy: 0.249 eV per atom
ΔE to the lowest computed polymorph: 104 meV/atom
Calculated density: 7.657 g/cm3
M_tot: 0.001 μB/f.u.

Geometry as Quantum ESPRESSO input:
```
&SYSTEM
  ibrav = 0, nat = 4, ntyp = 3
/
ATOMIC_SPECIES
Sr 87.62 Sr.upf
Ta 180.95 Ta.upf
Co 58.93 Co.upf
CELL_PARAMETERS angstrom
2.083 1.203 5.574
-2.083 1.203 5.574
0.000 -2.406 5.574
ATOMIC_POSITIONS crystal
Sr 0.000 0.000 0.000
Ta 0.500 0.500 0.500
Co 0.196 0.196 0.196
Co 0.804 0.804 0.804
```

***

The highest V belongs to which entry?
number 4

***

What did the twelfth record say?
Entry from the Alexandria database: an optimized crystal structure of SrTaCo2 (PBE-GGA). Values from VASP.

Computed properties:
V: 21.0 A^3/atom
Formation energy: 0.249 eV per atom
ΔE to the lowest computed polymorph: 104 meV/atom
Calculated density: 7.657 g/cm3
M_tot: 0.001 μB/f.u.

Geometry as Quantum ESPRESSO input:
```
&SYSTEM
  ibrav = 0, nat = 4, ntyp = 3
/
ATOMIC_SPECIES
Sr 87.62 Sr.upf
Ta 180.95 Ta.upf
Co 58.93 Co.upf
CELL_PARAMETERS angstrom
2.083 1.203 5.574
-2.083 1.203 5.574
0.000 -2.406 5.574
ATOMIC_POSITIONS crystal
Sr 0.000 0.000 0.000
Ta 0.500 0.500 0.500
Co 0.196 0.196 0.196
Co 0.804 0.804 0.804
```

***

Among the records above, which one has the lowest formation energy?
SrTaCo2